(1)
The following is a PBE calculation of NdHfTeO6 after structural relaxation, from Alexandria via LeMat-Bulk.

formation energy (no corrections) = -2.4530 eV per atom
DOS(E_F) = 10.18 states/eV per cell
calculated total energy = -69.69 eV per formula unit

Cell lengths 5.4906, 5.4906, 10.1442 Å; angles 90.00, 90.00, 120.00 degrees
With the nearest neighbours (Å) after each atom.
Space group P-31c (No. 163)
Unique sites:
1 Nd 0.0000 0.0000 0.0000 (multiplicity 2)  6 O 2.43
2 Hf 0.3333 0.6667 0.2500 (multiplicity 2)  6 O 2.10
3 Te 0.3333 0.6667 0.7500 (multiplicity 2)  6 O 2.07
4 O 0.0034 0.3618 0.6396 (multiplicity 12)  1 Te 2.07, 1 Hf 2.10

(2)
The following is a PBE calculation of NdHfTi2O8 after structural relaxation, from Alexandria via LeMat-Bulk.

formation energy (no corrections) = -3.0282 eV per atom
DOS(E_F) = 14.11 states/eV per cell
calculated total energy = -106.51 eV per formula unit

Cell lengths 5.1244, 5.1244, 11.0150 Å; angles 90.00, 90.00, 90.00 degrees
With the nearest neighbours (Å) after each atom.
Space group I-4 (No. 82)
Unique sites:
1 Nd 0.0000 0.0000 0.0000 (multiplicity 2)  8 O 2.40-2.45
2 Hf 0.0000 0.5000 0.7500 (multiplicity 2)  8 O 2.19-2.26
3 Ti 0.0000 0.0000 0.5000 (multiplicity 2)  4 O 1.85
4 Ti 0.0000 0.5000 0.2500 (multiplicity 2)  4 O 1.86
5 O 0.1502 0.2619 0.5924 (multiplicity 8)  1 Ti 1.85
6 O 0.1863 0.7629 0.1730 (multiplicity 8)  1 Ti 1.86

(3)
The following is a PBE calculation of NdHf2TiO8 after structural relaxation, from Alexandria via LeMat-Bulk.

formation energy (no corrections) = -3.0993 eV per atom
DOS(E_F) = 10.29 states/eV per cell
calculated total energy = -109.43 eV per formula unit

Cell lengths 6.8350, 7.0938, 6.6127 Å; angles 90.00, 90.00, 90.00 degrees
With the nearest neighbours (Å) after each atom.
Space group Cmmm (No. 65)
Unique sites:
1 Nd 0.0000 0.0000 0.0000 (multiplicity 2)  6 O 2.31-2.36
2 Hf 0.0000 0.5000 0.2533 (multiplicity 4)  6 O 2.06-2.17
3 Ti 0.0000 0.0000 0.5000 (multiplicity 2)  6 O 1.95-2.11
4 O 0.0000 0.2973 0.5000 (multiplicity 4)  1 Ti 2.11, 2 Hf 2.17
5 O 0.0000 0.3250 0.0000 (multiplicity 4)  2 Hf 2.08, 1 Nd 2.31
6 O 0.2001 0.0000 0.2902 (multiplicity 8)  1 Ti 1.95, 1 Hf 2.06